(1)
Below is HgTe3Se after structural relaxation, with properties calculated at the GGA-PBE level.

Cell and atoms, written as CIF:
```
data_HgTe3Se
_cell_length_a 5.5683
_cell_length_b 5.5683
_cell_length_c 5.5683
_cell_angle_alpha 90.00
_cell_angle_beta 90.00
_cell_angle_gamma 90.00
_space_group_name_H-M_alt 'P 1'
_space_group_IT_number 1
loop_
_space_group_symop_operation_xyz
'x,y,z'
loop_
_atom_site_label
_atom_site_type_symbol
_atom_site_fract_x
_atom_site_fract_y
_atom_site_fract_z
_atom_site_occupancy
Hg1 Hg 0.0000 0.0000 0.0000 1
Te1 Te 0.0000 0.0000 0.5000 1
Te2 Te 0.0000 0.5000 0.0000 1
Te3 Te 0.5000 0.0000 0.0000 1
Se1 Se 0.5000 0.5000 0.5000 1
```

Values from the calculation:
Uncorrected formation energy: 851 meV/atom
Density: 6.37 g/cm³
DOS(E_F): 6.7 states/eV/cell
V: 173 Å³ per cell
Uncorrected energy: -1.79 eV/atom
Energy above the most stable polymorph in this dataset: 1.92 eV/f.u.
Symmetry: No. 221



(2)
Below is Hg2TeSe after structural relaxation, with properties calculated at the GGA-PBE level.

Cell and atoms, written as CIF:
```
data_Hg2TeSe
_cell_length_a 4.0055
_cell_length_b 4.0055
_cell_length_c 6.3956
_cell_angle_alpha 90.00
_cell_angle_beta 90.00
_cell_angle_gamma 90.00
_space_group_name_H-M_alt 'P 1'
_space_group_IT_number 1
loop_
_space_group_symop_operation_xyz
'x,y,z'
loop_
_atom_site_label
_atom_site_type_symbol
_atom_site_fract_x
_atom_site_fract_y
_atom_site_fract_z
_atom_site_occupancy
Hg1 Hg 0.0000 0.0000 0.2381 1
Hg2 Hg 0.0000 0.0000 0.7619 1
Te1 Te 0.5000 0.5000 0.5000 1
Se1 Se 0.5000 0.5000 0.0000 1
```

Values from the calculation:
Uncorrected formation energy: 243 meV/atom
Density: 9.83 g/cm³
DOS(E_F): 2.5 states/eV/cell
V: 103 Å³ per cell
Uncorrected energy: -1.56 eV/atom
Energy above the most stable polymorph in this dataset: 1.72 eV/f.u.
Symmetry: No. 123



(3)
Below is Hg4TeSe after structural relaxation, with properties calculated at the GGA-PBE level.

Cell and atoms, written as CIF:
```
data_Hg4TeSe
_cell_length_a 6.0506
_cell_length_b 6.0506
_cell_length_c 6.0506
_cell_angle_alpha 60.00
_cell_angle_beta 60.00
_cell_angle_gamma 60.00
_space_group_name_H-M_alt 'P 1'
_space_group_IT_number 1
loop_
_space_group_symop_operation_xyz
'x,y,z'
loop_
_atom_site_label
_atom_site_type_symbol
_atom_site_fract_x
_atom_site_fract_y
_atom_site_fract_z
_atom_site_occupancy
Hg1 Hg 0.1246 0.1246 0.1246 1
Hg2 Hg 0.1246 0.1246 0.6263 1
Hg3 Hg 0.1246 0.6263 0.1246 1
Hg4 Hg 0.6263 0.1246 0.1246 1
Te1 Te 0.5000 0.5000 0.5000 1
Se1 Se 0.7500 0.7500 0.7500 1
```

Values from the calculation:
Uncorrected formation energy: 378 meV/atom
Density: 10.70 g/cm³
DOS(E_F): 4.5 states/eV/cell
V: 157 Å³ per cell
Uncorrected energy: -0.93 eV/atom
Symmetry: No. 216



(4)
Below is HgTeSe2 after structural relaxation, with properties calculated at the GGA-PBE level.

Cell and atoms, written as CIF:
```
data_HgTeSe2
_cell_length_a 5.1269
_cell_length_b 5.1269
_cell_length_c 5.1269
_cell_angle_alpha 60.00
_cell_angle_beta 60.00
_cell_angle_gamma 60.00
_space_group_name_H-M_alt 'P 1'
_space_group_IT_number 1
loop_
_space_group_symop_operation_xyz
'x,y,z'
loop_
_atom_site_label
_atom_site_type_symbol
_atom_site_fract_x
_atom_site_fract_y
_atom_site_fract_z
_atom_site_occupancy
Hg1 Hg 0.0000 0.0000 0.0000 1
Te1 Te 0.2500 0.2500 0.2500 1
Se1 Se 0.5000 0.5000 0.5000 1
Se2 Se 0.7500 0.7500 0.7500 1
```

Values from the calculation:
Uncorrected formation energy: 420 meV/atom
Density: 8.47 g/cm³
DOS(E_F): 3.8 states/eV/cell
V: 95 Å³ per cell
Uncorrected energy: -2.18 eV/atom
Energy above the most stable polymorph in this dataset: 2.03 eV/f.u.
Symmetry: No. 216



(5)
Below is Hg2TeSe after structural relaxation, with properties calculated at the GGA-PBE level.

Cell and atoms, written as CIF:
```
data_Hg2TeSe
_cell_length_a 5.2436
_cell_length_b 5.2436
_cell_length_c 5.2436
_cell_angle_alpha 60.00
_cell_angle_beta 60.00
_cell_angle_gamma 60.00
_space_group_name_H-M_alt 'P 1'
_space_group_IT_number 1
loop_
_space_group_symop_operation_xyz
'x,y,z'
loop_
_atom_site_label
_atom_site_type_symbol
_atom_site_fract_x
_atom_site_fract_y
_atom_site_fract_z
_atom_site_occupancy
Hg1 Hg 0.2500 0.2500 0.2500 1
Hg2 Hg 0.7500 0.7500 0.7500 1
Te1 Te 0.0000 0.0000 0.0000 1
Se1 Se 0.5000 0.5000 0.5000 1
```

Values from the calculation:
Uncorrected formation energy: 298 meV/atom
Density: 9.90 g/cm³
DOS(E_F): 3.6 states/eV/cell
V: 102 Å³ per cell
Uncorrected energy: -1.51 eV/atom
Energy above the most stable polymorph in this dataset: 1.94 eV/f.u.
Symmetry: No. 225



(6)
Below is HgTeSe2 after structural relaxation, with properties calculated at the GGA-PBE level.

Cell and atoms, written as CIF:
```
data_HgTeSe2
_cell_length_a 5.8905
_cell_length_b 5.8905
_cell_length_c 5.8905
_cell_angle_alpha 139.90
_cell_angle_beta 97.36
_cell_angle_gamma 96.15
_space_group_name_H-M_alt 'P 1'
_space_group_IT_number 1
loop_
_space_group_symop_operation_xyz
'x,y,z'
loop_
_atom_site_label
_atom_site_type_symbol
_atom_site_fract_x
_atom_site_fract_y
_atom_site_fract_z
_atom_site_occupancy
Hg1 Hg 0.0000 0.0000 0.0000 1
Te1 Te 0.5000 0.0000 0.5000 1
Se1 Se 0.2522 0.5000 0.7522 1
Se2 Se 0.7478 0.5000 0.2478 1
```

Values from the calculation:
Uncorrected formation energy: 100 meV/atom
Density: 6.53 g/cm³
DOS(E_F): 1.9 states/eV/cell
V: 124 Å³ per cell
Uncorrected energy: -2.50 eV/atom
Energy above the most stable polymorph in this dataset: 0.75 eV/f.u.
Symmetry: No. 71



(7)
Below is Hg2TeSe after structural relaxation, with properties calculated at the GGA-PBE level.

Cell and atoms, written as CIF:
```
data_Hg2TeSe
_cell_length_a 2.9676
_cell_length_b 4.3209
_cell_length_c 8.5769
_cell_angle_alpha 90.00
_cell_angle_beta 93.27
_cell_angle_gamma 90.00
_space_group_name_H-M_alt 'P 1'
_space_group_IT_number 1
loop_
_space_group_symop_operation_xyz
'x,y,z'
loop_
_atom_site_label
_atom_site_type_symbol
_atom_site_fract_x
_atom_site_fract_y
_atom_site_fract_z
_atom_site_occupancy
Hg1 Hg 0.0000 0.0000 0.0000 1
Hg2 Hg 0.0619 0.5000 0.7506 1
Te1 Te 0.0068 0.5000 0.2615 1
Se1 Se 0.0470 0.0000 0.5230 1
```

Values from the calculation:
Uncorrected formation energy: 93 meV/atom
Density: 9.19 g/cm³
DOS(E_F): 2.1 states/eV/cell
V: 110 Å³ per cell
Uncorrected energy: -1.71 eV/atom
Energy above the most stable polymorph in this dataset: 1.12 eV/f.u.
Symmetry: No. 6



(8)
Below is HgTeSe2 after structural relaxation, with properties calculated at the GGA-PBE level.

Cell and atoms, written as CIF:
```
data_HgTeSe2
_cell_length_a 2.9500
_cell_length_b 5.4080
_cell_length_c 7.6941
_cell_angle_alpha 90.00
_cell_angle_beta 92.17
_cell_angle_gamma 90.00
_space_group_name_H-M_alt 'P 1'
_space_group_IT_number 1
loop_
_space_group_symop_operation_xyz
'x,y,z'
loop_
_atom_site_label
_atom_site_type_symbol
_atom_site_fract_x
_atom_site_fract_y
_atom_site_fract_z
_atom_site_occupancy
Hg1 Hg 0.0000 0.0000 0.0000 1
Te1 Te 0.0260 0.5000 0.5116 1
Se1 Se 0.0354 0.0000 0.6025 1
Se2 Se 0.9907 0.5000 0.0693 1
```

Values from the calculation:
Uncorrected formation energy: 129 meV/atom
Density: 6.58 g/cm³
DOS(E_F): 2.3 states/eV/cell
V: 123 Å³ per cell
Uncorrected energy: -2.47 eV/atom
Energy above the most stable polymorph in this dataset: 0.87 eV/f.u.
Symmetry: No. 6



(9)
Below is Hg2TeSe after structural relaxation, with properties calculated at the GGA-PBE level.

Cell and atoms, written as CIF:
```
data_Hg2TeSe
_cell_length_a 4.6442
_cell_length_b 4.6442
_cell_length_c 9.1197
_cell_angle_alpha 104.27
_cell_angle_beta 104.27
_cell_angle_gamma 39.31
_space_group_name_H-M_alt 'P 1'
_space_group_IT_number 1
loop_
_space_group_symop_operation_xyz
'x,y,z'
loop_
_atom_site_label
_atom_site_type_symbol
_atom_site_fract_x
_atom_site_fract_y
_atom_site_fract_z
_atom_site_occupancy
Hg1 Hg 0.0000 0.0000 0.0000 1
Hg2 Hg 0.1249 0.1249 0.3132 1
Te1 Te 0.4380 0.4380 0.5124 1
Se1 Se 0.6950 0.6950 0.8258 1
```

Values from the calculation:
Uncorrected formation energy: 81 meV/atom
Density: 8.39 g/cm³
DOS(E_F): 1.9 states/eV/cell
V: 120 Å³ per cell
Uncorrected energy: -1.73 eV/atom
Energy above the most stable polymorph in this dataset: 1.07 eV/f.u.
Symmetry: No. 8



(10)
Below is Hg2TeSe after structural relaxation, with properties calculated at the GGA-PBE level.

Cell and atoms, written as CIF:
```
data_Hg2TeSe
_cell_length_a 9.2702
_cell_length_b 9.2702
_cell_length_c 9.2702
_cell_angle_alpha 28.70
_cell_angle_beta 28.70
_cell_angle_gamma 28.70
_space_group_name_H-M_alt 'P 1'
_space_group_IT_number 1
loop_
_space_group_symop_operation_xyz
'x,y,z'
loop_
_atom_site_label
_atom_site_type_symbol
_atom_site_fract_x
_atom_site_fract_y
_atom_site_fract_z
_atom_site_occupancy
Hg1 Hg 0.0000 0.0000 0.0000 1
Hg2 Hg 0.1771 0.1771 0.1771 1
Te1 Te 0.4834 0.4834 0.4834 1
Se1 Se 0.6759 0.6759 0.6759 1
```

Values from the calculation:
Uncorrected formation energy: -12 meV/atom
Density: 6.21 g/cm³
DOS(E_F): 0.3 states/eV/cell
V: 162 Å³ per cell
Uncorrected energy: -1.82 eV/atom
Energy above the most stable polymorph in this dataset: 0.70 eV/f.u.
Symmetry: No. 160



(11)
Below is Hg2TeSe after structural relaxation, with properties calculated at the GGA-PBE level.

Cell and atoms, written as CIF:
```
data_Hg2TeSe
_cell_length_a 2.9566
_cell_length_b 2.9566
_cell_length_c 13.4826
_cell_angle_alpha 90.00
_cell_angle_beta 90.00
_cell_angle_gamma 90.12
_space_group_name_H-M_alt 'P 1'
_space_group_IT_number 1
loop_
_space_group_symop_operation_xyz
'x,y,z'
loop_
_atom_site_label
_atom_site_type_symbol
_atom_site_fract_x
_atom_site_fract_y
_atom_site_fract_z
_atom_site_occupancy
Hg1 Hg 0.0000 0.0000 0.0000 1
Hg2 Hg 0.5000 0.5000 0.2380 1
Te1 Te 0.0000 0.0000 0.4916 1
Se1 Se 0.5000 0.5000 0.7809 1
```

Values from the calculation:
Uncorrected formation energy: 156 meV/atom
Density: 8.56 g/cm³
DOS(E_F): 2.0 states/eV/cell
V: 118 Å³ per cell
Uncorrected energy: -1.65 eV/atom
Energy above the most stable polymorph in this dataset: 1.37 eV/f.u.
Symmetry: No. 35



(12)
Below is Hg2TeSe after structural relaxation, with properties calculated at the GGA-PBE level.

Cell and atoms, written as CIF:
```
data_Hg2TeSe
_cell_length_a 3.8427
_cell_length_b 3.8427
_cell_length_c 9.3741
_cell_angle_alpha 90.00
_cell_angle_beta 90.00
_cell_angle_gamma 90.00
_space_group_name_H-M_alt 'P 1'
_space_group_IT_number 1
loop_
_space_group_symop_operation_xyz
'x,y,z'
loop_
_atom_site_label
_atom_site_type_symbol
_atom_site_fract_x
_atom_site_fract_y
_atom_site_fract_z
_atom_site_occupancy
Hg1 Hg 0.0000 0.0000 0.0000 1
Hg2 Hg 0.5000 0.5000 0.2253 1
Te1 Te 0.5000 0.5000 0.6621 1
Se1 Se 0.0000 0.0000 0.5749 1
```

Values from the calculation:
Uncorrected formation energy: 77 meV/atom
Density: 7.29 g/cm³
DOS(E_F): 0.7 states/eV/cell
V: 138 Å³ per cell
Uncorrected energy: -1.73 eV/atom
Energy above the most stable polymorph in this dataset: 1.05 eV/f.u.
Symmetry: No. 99



(13)
Below is Hg2TeSe after structural relaxation, with properties calculated at the GGA-PBE level.

Cell and atoms, written as CIF:
```
data_Hg2TeSe
_cell_length_a 7.9058
_cell_length_b 7.9058
_cell_length_c 7.9058
_cell_angle_alpha 33.62
_cell_angle_beta 33.62
_cell_angle_gamma 33.62
_space_group_name_H-M_alt 'P 1'
_space_group_IT_number 1
loop_
_space_group_symop_operation_xyz
'x,y,z'
loop_
_atom_site_label
_atom_site_type_symbol
_atom_site_fract_x
_atom_site_fract_y
_atom_site_fract_z
_atom_site_occupancy
Hg1 Hg 0.0000 0.0000 0.0000 1
Hg2 Hg 0.4913 0.4913 0.4913 1
Te1 Te 0.8716 0.8716 0.8716 1
Se1 Se 0.3704 0.3704 0.3704 1
```

Values from the calculation:
Uncorrected formation energy: -176 meV/atom
Density: 7.48 g/cm³
DOS(E_F): 0.4 states/eV/cell
V: 135 Å³ per cell
Uncorrected energy: -1.98 eV/atom
Energy above the most stable polymorph in this dataset: 0.04 eV/f.u.
Symmetry: No. 160